# BaLi2GaAg4, optimized geometry, DFT GGA-PBE
data_BaLi2GaAg4
_chemical_formula_sum 'Ba3 Li6 Ga3 Ag12'
_cell_length_a 4.5799
_cell_length_b 4.5799
_cell_length_c 29.1839
_cell_angle_alpha 90.00
_cell_angle_beta 90.00
_cell_angle_gamma 120.00
_space_group_name_H-M_alt 'R -3 m'
_space_group_IT_number 166
_space_group_name_Hall '-R 3 2"'
loop_
_atom_site_label
_atom_site_type_symbol
_atom_site_fract_x
_atom_site_fract_y
_atom_site_fract_z
Ba1 Ba 0.0000 0.0000 0.0000
Li1 Li 0.0000 0.0000 0.2270
Ga1 Ga 0.0000 0.0000 0.5000
Ag1 Ag 0.0000 0.0000 0.1316
Ag2 Ag 0.0000 0.0000 0.4106
# **Energy**: -64.69 eV for the cell shown
# **ΔH_f (0 K)**: -0.173 eV/atom